The following is a PBE calculation of an optimized crystal structure of Ac2CuI, from Alexandria.

The space group is P-3m1 (No. 164) and the conventional cell measures 4.4378, 4.4378 and 8.4634 Å, with angles of 90.00, 90.00 and 120.00 degrees. The asymmetric unit holds Ac at (0.3333, 0.6667, 0.2001), Cu at (0.0000, 0.0000, 0.0000) and I at (0.0000, 0.0000, 0.5000).

The value obtained for the formation energy (no corrections) is -52 kJ/mol of atoms. As for the distance to the lowest polymorph of the same formula: 11.9 meV per atom.

***

The following is a PBE calculation of an optimized crystal structure of K2CaUO6, from Alexandria.

The space group is Fm-3m (No. 225) and the conventional cell measures 8.7283, 8.7283 and 8.7283 Å, with angles of 90.00, 90.00 and 90.00 degrees. The asymmetric unit holds K at (0.2500, 0.2500, 0.2500), Ca at (0.0000, 0.0000, 0.0000), U at (0.0000, 0.0000, 0.5000) and O at (0.0000, 0.0000, 0.2667).

The value obtained for the formation energy (no corrections) is -225 kJ/mol of atoms.

***

The following is a PBE calculation of an optimized crystal structure of PrPuI4, from Alexandria.

The space group is C2/m (No. 12) and the conventional cell measures 16.4062, 4.3108 and 7.5213 Å, with angles of 90.00, 101.65 and 90.00 degrees. The asymmetric unit holds Pr at (0.0000, 0.0000, 0.0000), Pu at (0.0000, 0.5000, 0.5000), I at (0.1229, 0.0000, 0.3893) and I at (0.1253, 0.5000, 0.8842).

The value obtained for the formation energy (no corrections) is -114 kJ/mol of atoms. As for the distance to the lowest polymorph of the same formula: 0.0 meV per atom.

***

The following is a PBE calculation of an optimized crystal structure of ZnCu2Ir2, from Alexandria.

The space group is I4/mmm (No. 139) and the conventional cell measures 3.5788, 3.5788 and 12.3031 Å, with angles of 90.00, 90.00 and 90.00 degrees. The asymmetric unit holds Zn at (0.0000, 0.0000, 0.0000), Cu at (0.0000, 0.0000, 0.4045) and Ir at (0.0000, 0.5000, 0.2500).

As for the distance to the lowest polymorph of the same formula: 216.4 meV per atom. The energy relative to the elements comes out at 0.490 eV/atom.

***

Number 1: total energy -4.003 eV per atom. Number 2: total energy -6.855 eV per atom. Number 3: total energy -5.396 eV per atom. Number 4: total energy -4.948 eV per atom.